# 1
VInB2Mo PBE optimized geometry; Fermi-level density of states = 6.9 states/eV/cell; total magnetization = 1.5 μB/cell; ΔE_f = 1225.2 kJ/mol of formula units
1.0
-1.360 -2.260 -3.187
4.390 -2.919 0.196
-1.847 -2.601 2.633
Mo V B In
1 1 2 1
Direct
0.000 0.500 0.000
0.500 0.500 0.500
0.000 0.000 0.500
0.500 0.000 0.000
0.000 0.000 0.000

***

# 2
Zr2InBMo PBE optimized geometry; Fermi-level density of states = 3.3 states/eV/cell; total magnetization = 0.0 μB/cell; ΔE_f = -122.2 kJ/mol of formula units
1.0
-3.061 -1.288 3.335
-0.215 -4.316 -1.864
3.187 -1.219 2.454
Mo B Zr In
1 1 2 1
Direct
0.000 0.000 0.500
0.000 0.000 0.000
0.000 0.500 0.000
0.500 0.000 0.000
0.500 0.500 0.500